Entry 1:
CuRuRh2: relaxed, PBE.

Structure (POSCAR):
```
CuRuRh2
1.0
2.810 0.000 0.000
0.000 4.430 0.000
0.000 0.000 8.871
Cu Ru Rh
2 2 4
direct
0.000 0.000 0.000
0.500 0.500 0.500
0.000 0.500 0.265
0.500 0.000 0.765
0.000 0.000 0.506
0.000 0.500 0.735
0.500 0.000 0.235
0.500 0.500 0.006
```

Summary:
DOS at the Fermi energy = 11.5 states/eV per cell
ΔE_f = 251 meV per atom

***

Entry 2:
Na3USe4: relaxed, PBE.

Structure (POSCAR):
```
Na3USe4
1.0
7.350 0.000 0.000
0.000 8.496 0.000
-2.476 0.000 6.798
Na U Se
6 2 8
direct
0.000 0.110 0.250
0.000 0.371 0.750
0.000 0.629 0.250
0.000 0.890 0.750
0.500 0.118 0.750
0.500 0.882 0.250
0.500 0.366 0.250
0.500 0.634 0.750
0.261 0.146 0.023
0.261 0.854 0.523
0.282 0.393 0.498
0.282 0.607 0.998
0.718 0.393 0.002
0.718 0.607 0.502
0.739 0.146 0.477
0.739 0.854 0.977
```

Summary:
DOS at the Fermi energy = 5.9 states/eV per cell
formation energy without anion corrections = -1.18 eV per atom

***

Entry 3:
LaMo2Rh2: relaxed, PBE.

Structure (POSCAR):
```
LaMo2Rh2
1.0
4.602 0.000 0.000
0.000 4.602 0.000
0.000 0.000 9.536
La Mo Rh
2 4 4
direct
0.000 0.000 0.000
0.500 0.500 0.500
0.000 0.000 0.372
0.000 0.000 0.628
0.500 0.500 0.128
0.500 0.500 0.872
0.000 0.500 0.250
0.000 0.500 0.750
0.500 0.000 0.250
0.500 0.000 0.750
```

Summary:
DOS at the Fermi energy = 17.4 states/eV per cell
ΔE_f = 58 meV per atom

***

Entry 4:
InSb2Te: relaxed, PBE.

Structure (POSCAR):
```
InSb2Te
1.0
4.456 0.000 0.000
0.000 4.456 0.000
0.000 0.000 11.651
In Sb Te
2 4 2
direct
0.000 0.000 0.000
0.500 0.500 0.500
0.000 0.500 0.250
0.000 0.500 0.750
0.500 0.000 0.250
0.500 0.000 0.750
0.000 0.000 0.500
0.500 0.500 0.000
```

Summary:
DOS at the Fermi energy = 4.7 states/eV per cell
formation energy without anion corrections = 0.16 eV per atom

***

Entry 5:
Pm2Zn2Ni15: relaxed, PBE.

Structure (POSCAR):
```
Pm2Zn2Ni15
1.0
4.192 2.420 4.087
-4.192 2.420 4.087
0.000 -4.840 4.087
Pm Zn Ni
2 2 15
direct
0.154 0.154 0.154
0.846 0.846 0.846
0.401 0.401 0.401
0.599 0.599 0.599
0.000 0.500 0.500
0.156 0.156 0.653
0.156 0.653 0.156
0.205 0.500 0.795
0.205 0.795 0.500
0.347 0.844 0.844
0.500 0.000 0.500
0.500 0.205 0.795
0.500 0.500 0.000
0.500 0.795 0.205
0.653 0.156 0.156
0.795 0.205 0.500
0.795 0.500 0.205
0.844 0.347 0.844
0.844 0.844 0.347
```

Summary:
DOS at the Fermi energy = 23.8 states/eV per cell
ΔE_f = -218 meV per atom

***

Entry 6:
CePrHgPb: relaxed, PBE.

Structure (POSCAR):
```
CePrHgPb
1.0
4.352 0.000 0.000
0.000 5.176 0.000
0.000 0.000 5.243
Ce Pr Hg Pb
1 1 1 1
direct
0.000 0.000 0.000
0.000 0.500 0.500
0.500 0.000 0.500
0.500 0.500 0.000
```

Summary:
DOS at the Fermi energy = 9.4 states/eV per cell
ΔE_f = -421 meV per atom

***

Entry 7:
BaHoCd2: relaxed, PBE.

Structure (POSCAR):
```
BaHoCd2
1.0
7.961 0.000 0.000
0.000 7.961 0.000
0.000 0.000 7.961
Ba Ho Cd
4 4 8
direct
0.000 0.000 0.000
0.000 0.500 0.500
0.500 0.000 0.500
0.500 0.500 0.000
0.000 0.000 0.500
0.000 0.500 0.000
0.500 0.000 0.000
0.500 0.500 0.500
0.250 0.250 0.250
0.250 0.250 0.750
0.250 0.750 0.250
0.250 0.750 0.750
0.750 0.250 0.250
0.750 0.250 0.750
0.750 0.750 0.250
0.750 0.750 0.750
```

Summary:
DOS at the Fermi energy = 9.9 states/eV per cell
ΔE_f = -179 meV per atom

***

Entry 8:
BeRhBr: relaxed, PBE.

Structure (POSCAR):
```
BeRhBr
1.0
3.178 0.000 0.000
0.000 3.178 0.000
0.000 0.000 9.356
Be Rh Br
2 2 2
direct
0.000 0.000 0.000
0.500 0.500 0.500
0.000 0.000 0.570
0.500 0.500 0.070
0.000 0.000 0.297
0.500 0.500 0.797
```

Summary:
DOS at the Fermi energy = 2.6 states/eV per cell
formation energy without anion corrections = 0.19 eV per atom

***

Entry 9:
ErSc2In4: relaxed, PBE.

Structure (POSCAR):
```
ErSc2In4
1.0
7.248 0.000 0.000
0.000 7.248 0.000
0.000 0.000 6.957
Er Sc In
2 4 8
direct
0.000 0.000 0.000
0.500 0.500 0.500
0.000 0.500 0.000
0.000 0.500 0.500
0.500 0.000 0.000
0.500 0.000 0.500
0.250 0.250 0.250
0.250 0.250 0.750
0.250 0.750 0.250
0.250 0.750 0.750
0.750 0.250 0.250
0.750 0.250 0.750
0.750 0.750 0.250
0.750 0.750 0.750
```

Summary:
DOS at the Fermi energy = 11.7 states/eV per cell
ΔE_f = -305 meV per atom

***

Entry 10:
Ag4SnAu6: relaxed, PBE.

Structure (POSCAR):
```
Ag4SnAu6
1.0
-3.672 3.672 4.635
3.672 -3.672 4.635
3.672 3.672 -4.635
Ag Sn Au
4 1 6
direct
0.121 0.761 0.000
0.239 0.239 0.360
0.761 0.121 0.000
0.879 0.879 0.640
0.500 0.500 0.000
0.000 0.500 0.500
0.100 0.374 0.000
0.374 0.100 0.000
0.500 0.000 0.500
0.626 0.626 0.725
0.900 0.900 0.275
```

Summary:
DOS at the Fermi energy = 4.0 states/eV per cell
ΔE_f = 258 meV per atom

***

Entry 11:
LaMgH2O: relaxed, PBE.

Structure (POSCAR):
```
LaMgH2O
1.0
3.835 0.000 0.000
0.000 3.835 0.000
0.000 0.000 4.026
La Mg H O
1 1 2 1
direct
0.000 0.000 0.000
0.500 0.500 0.500
0.000 0.500 0.500
0.500 0.000 0.500
0.500 0.500 0.000
```

Summary:
DOS at the Fermi energy = 2.0 states/eV per cell
VASP energy = -4.858 eV per atom

***

Entry 12:
BaLa2Se: relaxed, PBE.

Structure (POSCAR):
```
BaLa2Se
1.0
6.588 0.000 0.000
0.000 12.061 0.000
0.000 0.000 4.062
Ba La Se
2 4 2
direct
0.000 0.000 0.000
0.500 0.500 0.000
0.000 0.321 0.500
0.000 0.679 0.500
0.500 0.179 0.500
0.500 0.821 0.500
0.000 0.500 0.000
0.500 0.000 0.000
```

Summary:
DOS at the Fermi energy = 11.9 states/eV per cell
formation energy without anion corrections = -0.73 eV per atom